An optimized crystal structure of CaTb3Pm4S8. Source: Alexandria, functional GGA-PBE.

```
data_CaTb3Pm4S8
_chemical_formula_sum 'Ca3 Tb9 Pm12 S24'
_space_group_name_H-M_alt 'R -3 m'
_space_group_IT_number 166
_space_group_name_Hall '-R 3 2"'
_cell_length_a 7.9596
_cell_length_b 7.9596
_cell_length_c 19.6540
_cell_angle_alpha 90.00
_cell_angle_beta 90.00
_cell_angle_gamma 120.00
loop_
_atom_site_label
_atom_site_fract_x
_atom_site_fract_y
_atom_site_fract_z
Ca1 0.0000 0.0000 0.0000
Tb1 0.0000 0.5000 0.0000
Pm1 0.0000 0.0000 0.5000
Pm2 0.0000 0.5000 0.5000
S1 0.0000 0.0000 0.2534
S2 0.0006 0.5003 0.2533
```

Calculated values
**Density of states at the Fermi level**: 22.979 states/eV per cell
**Total DFT energy (no corrections)**: -6.27 eV/atom